Entry 1:
This record from the Alexandria database describes a geometry-optimized BeAsPb2 structure. The functional is PBE.

The value obtained for the energy relative to the elements is 24 kJ per mole of atoms. Its calculated volume is 97 Å³/cell. Its final energy is -3.70 eV per atom. The density of states at the Fermi level comes out at 1.17 states/eV per cell.

abc: 3.368 3.368 9.119
angles: 90.00 90.00 110.54
Sites, in units of the cell vectors:
Be (0.000, 0.000, 0.000)
As (0.500, 0.500, 0.115)
Pb (0.000, 0.000, 0.418)
Pb (0.500, 0.500, 0.762)

---

Entry 2:
This record from the Alexandria database describes a geometry-optimized SrTa2Bi2O9 structure. The functional is PBE.

Its calculated volume is 404 Å³/cell. Its final energy is -7.94 eV per atom. Its energy relative to the elements, uncorrected is -2.3879 eV/atom. The density of states at the Fermi level comes out at 0.00 states/eV per cell.

abc: 5.600 13.101 13.101
angles: 155.18 90.00 90.00
Sites, in units of the cell vectors:
Sr (0.000, 0.000, 0.000)
Sr (0.500, 0.500, 0.500)
Ta (0.003, 0.581, 0.416)
Ta (0.497, 0.081, 0.916)
Ta (0.503, 0.916, 0.081)
Ta (0.997, 0.416, 0.581)
Bi (0.024, 0.307, 0.905)
Bi (0.476, 0.807, 0.405)
Bi (0.524, 0.405, 0.807)
Bi (0.976, 0.905, 0.307)
O (0.000, 0.482, 0.482)
O (0.043, 0.634, 0.321)
O (0.234, 0.145, 0.300)
O (0.236, 0.823, 0.679)
O (0.237, 0.063, 0.561)
O (0.263, 0.563, 0.061)
O (0.264, 0.323, 0.179)
O (0.266, 0.645, 0.800)
O (0.457, 0.134, 0.821)
O (0.500, 0.982, 0.982)
O (0.543, 0.821, 0.134)
O (0.734, 0.800, 0.645)
O (0.736, 0.179, 0.323)
O (0.737, 0.061, 0.563)
O (0.763, 0.561, 0.063)
O (0.764, 0.679, 0.823)
O (0.766, 0.300, 0.145)
O (0.957, 0.321, 0.634)

---

Entry 3:
This record from the Alexandria database describes a geometry-optimized Rb2TiI4 structure. The functional is PBE.

Its calculated volume is 287 Å³/cell. Its final energy is -3.36 eV per atom. Its energy relative to the elements, uncorrected is -1.0709 eV/atom. The density of states at the Fermi level comes out at 4.24 states/eV per cell.

abc: 7.598 7.598 9.674
angles: 115.07 115.07 35.03
Sites, in units of the cell vectors:
Rb (0.162, 0.162, 0.174)
Rb (0.838, 0.838, 0.826)
Ti (0.500, 0.500, 0.500)
I (0.141, 0.141, 0.546)
I (0.442, 0.442, 0.170)
I (0.558, 0.558, 0.830)
I (0.859, 0.859, 0.454)

---

Entry 4:
This record from the Alexandria database describes a geometry-optimized NaBeAgAu2 structure. The functional is PBE.

The value obtained for the energy relative to the elements is -6 kJ per mole of atoms. Its calculated volume is 95 Å³/cell. Its final energy is -2.95 eV per atom. The density of states at the Fermi level comes out at 1.86 states/eV per cell.

abc: 4.538 4.538 4.612
angles: 90.00 90.00 90.00
Sites, in units of the cell vectors:
Na (0.000, 0.000, 0.000)
Be (0.500, 0.500, 0.500)
Ag (0.500, 0.500, 0.000)
Au (0.000, 0.500, 0.500)
Au (0.500, 0.000, 0.500)

---

Entry 5:
This record from the Alexandria database describes a geometry-optimized NaTl5O3 structure. The functional is PBE.

Its calculated volume is 550 Å³/cell. Its final energy is -3.74 eV per atom. Its energy relative to the elements, uncorrected is -0.6248 eV/atom.

abc: 8.421 8.421 9.510
angles: 115.45 115.45 79.68
Sites, in units of the cell vectors:
Na (0.007, 0.007, 0.262)
Na (0.993, 0.993, 0.738)
Tl (0.025, 0.329, 0.095)
Tl (0.212, 0.212, 0.675)
Tl (0.329, 0.025, 0.095)
Tl (0.341, 0.659, 0.500)
Tl (0.424, 0.424, 0.111)
Tl (0.576, 0.576, 0.889)
Tl (0.659, 0.341, 0.500)
Tl (0.671, 0.975, 0.905)
Tl (0.788, 0.788, 0.325)
Tl (0.975, 0.671, 0.905)
O (0.000, 0.000, 0.000)
O (0.000, 0.000, 0.500)
O (0.204, 0.204, 0.924)
O (0.351, 0.351, 0.306)
O (0.649, 0.649, 0.694)
O (0.796, 0.796, 0.076)

---

Entry 6:
This record from the Alexandria database describes a geometry-optimized Al2Se3 structure. The functional is PBE.

Its calculated volume is 261 Å³/cell. Its final energy is -4.43 eV per atom. Its energy relative to the elements, uncorrected is -0.8466 eV/atom. The density of states at the Fermi level comes out at 0.00 states/eV per cell.

abc: 6.887 6.887 7.434
angles: 116.58 116.58 59.57
Sites, in units of the cell vectors:
Al (0.064, 0.936, 0.500)
Al (0.563, 0.755, 0.987)
Al (0.755, 0.563, 0.487)
Al (0.936, 0.064, 0.000)
Se (0.113, 0.292, 0.630)
Se (0.292, 0.113, 0.130)
Se (0.442, 0.615, 0.601)
Se (0.615, 0.442, 0.101)
Se (0.772, 0.953, 0.614)
Se (0.953, 0.772, 0.114)

---

Entry 7:
This record from the Alexandria database describes a geometry-optimized FeIr2Au structure. The functional is PBE.

The value obtained for the energy relative to the elements is 24 kJ per mole of atoms. Its calculated volume is 59 Å³/cell. Its final energy is -7.12 eV per atom. The density of states at the Fermi level comes out at 4.95 states/eV per cell.

abc: 4.753 4.753 4.753
angles: 131.31 131.31 71.32
Sites, in units of the cell vectors:
Fe (0.000, 0.000, 0.000)
Ir (0.250, 0.750, 0.500)
Ir (0.750, 0.250, 0.500)
Au (0.500, 0.500, 0.000)

---

Entry 8:
This record from the Alexandria database describes a geometry-optimized FePC3 structure. The functional is PBE.

The value obtained for the energy relative to the elements is 214 kJ per mole of atoms. Its calculated volume is 53 Å³/cell. Its final energy is -6.09 eV per atom. The density of states at the Fermi level comes out at 3.29 states/eV per cell.

abc: 3.753 3.753 3.753
angles: 90.00 90.00 90.00
Sites, in units of the cell vectors:
Fe (0.000, 0.000, 0.000)
P (0.500, 0.500, 0.500)
C (0.000, 0.000, 0.500)
C (0.000, 0.500, 0.000)
C (0.500, 0.000, 0.000)

---

Entry 9:
This record from the Alexandria database describes a geometry-optimized CrAgOs2 structure. The functional is PBE.

The value obtained for the energy relative to the elements is 76 kJ per mole of atoms. Its calculated volume is 58 Å³/cell. Its final energy is -7.95 eV per atom. The density of states at the Fermi level comes out at 4.67 states/eV per cell.

abc: 4.342 4.342 4.342
angles: 60.00 60.00 60.00
Sites, in units of the cell vectors:
Cr (0.000, 0.000, 0.000)
Ag (0.500, 0.500, 0.500)
Os (0.250, 0.250, 0.250)
Os (0.750, 0.750, 0.750)

---

Entry 10:
This record from the Alexandria database describes a geometry-optimized Sr2InBr structure. The functional is PBE.

Its calculated volume is 148 Å³/cell. Its final energy is -2.88 eV per atom. Its energy relative to the elements, uncorrected is -0.9385 eV/atom. The density of states at the Fermi level comes out at 0.79 states/eV per cell.

abc: 9.107 9.107 9.107
angles: 28.07 28.07 28.07
Sites, in units of the cell vectors:
Sr (0.249, 0.249, 0.249)
Sr (0.751, 0.751, 0.751)
In (0.500, 0.500, 0.500)
Br (0.000, 0.000, 0.000)

---

- Which of these has the highest calculated volume?
  NaTl5O3

---

- calculated volume of number 7 (FeIr2Au)?
  59 Å³/cell

---

- Which of these has the highest final energy?
  Sr2InBr

---

- What is the formula in the ninth record?
  CrAgOs2